# 1
# LaEr6Tm8 (PBE-GGA, optimized geometry)
# Crystal system = trigonal
data_LaEr6Tm8
_chemical_formula_sum 'La1 Er6 Tm8'
_space_group_name_H-M_alt 'P -3'
_space_group_IT_number 147
_cell_length_a 9.3708
_cell_length_b 9.3708
_cell_length_c 6.3768
_cell_angle_alpha 90.00
_cell_angle_beta 90.00
_cell_angle_gamma 120.00
loop_
_space_group_symop_operation_xyz
'x,y,z'
'-x,-y,-z'
'-y,x-y,z'
'y,-x+y,-z'
'-x+y,-x,z'
'x-y,x,-z'
loop_
_atom_site_label
_atom_site_type_symbol
_atom_site_fract_x
_atom_site_fract_y
_atom_site_fract_z
La1 La 0.0000 0.0000 0.0000
Er1 Er 0.1043 0.6819 0.9136
Tm1 Tm 0.0253 0.3406 0.5881
Tm2 Tm 0.3333 0.6667 0.3387

=====

# 2
# LaEr7Tm4 (PBE-GGA, optimized geometry)
# Crystal system = triclinic
data_LaEr7Tm4
_chemical_formula_sum 'La1 Er7 Tm4'
_space_group_name_H-M_alt 'P -1'
_space_group_IT_number 2
_cell_length_a 6.1413
_cell_length_b 7.1034
_cell_length_c 8.7445
_cell_angle_alpha 89.95
_cell_angle_beta 76.41
_cell_angle_gamma 89.99
loop_
_space_group_symop_operation_xyz
'x,y,z'
'-x,-y,-z'
loop_
_atom_site_label
_atom_site_type_symbol
_atom_site_fract_x
_atom_site_fract_y
_atom_site_fract_z
La1 La 0.0000 0.0000 0.0000
Er1 Er 0.0000 0.5000 0.0000
Er2 Er 0.2236 0.0002 0.3366
Er3 Er 0.2787 0.7477 0.6634
Er4 Er 0.5000 0.2526 0.9999
Tm1 Tm 0.2212 0.5002 0.3355
Tm2 Tm 0.2782 0.2522 0.6636

=====

# 3
# La12ErTm5 (PBE-GGA, optimized geometry)
# Crystal system = monoclinic
data_La12ErTm5
_chemical_formula_sum 'La24 Er2 Tm10'
_space_group_name_H-M_alt 'C 1 2/m 1'
_space_group_IT_number 12
_cell_length_a 19.0183
_cell_length_b 10.8480
_cell_length_c 6.3568
_cell_angle_alpha 90.00
_cell_angle_beta 109.17
_cell_angle_gamma 90.00
loop_
_space_group_symop_operation_xyz
'x,y,z'
'-x,-y,-z'
'-x,y,-z'
'x,-y,z'
'x+1/2,y+1/2,z'
'-x+1/2,-y+1/2,-z'
'-x+1/2,y+1/2,-z'
'x+1/2,-y+1/2,z'
loop_
_atom_site_label
_atom_site_type_symbol
_atom_site_fract_x
_atom_site_fract_y
_atom_site_fract_z
La1 La 0.0000 0.1705 0.0000
La2 La 0.0000 0.3291 0.5000
La3 La 0.1666 0.1708 0.8334
La4 La 0.1667 0.3292 0.3334
Er1 Er 0.0000 0.5000 0.0000
Tm1 Tm 0.0000 0.0000 0.5000
Tm2 Tm 0.1667 0.0000 0.3335
Tm3 Tm 0.1668 0.5000 0.8332

=====

# 4
# La2Er7Tm2 (PBE-GGA, optimized geometry)
# Crystal system = orthorhombic
data_La2Er7Tm2
_chemical_formula_sum 'La4 Er14 Tm4'
_space_group_name_H-M_alt 'C m m m'
_space_group_IT_number 65
_space_group_name_Hall '-C 2 2'
_cell_length_a 6.4759
_cell_length_b 12.0674
_cell_length_c 9.3929
_cell_angle_alpha 90.00
_cell_angle_beta 90.00
_cell_angle_gamma 90.00
loop_
_atom_site_label
_atom_site_type_symbol
_atom_site_fract_x
_atom_site_fract_y
_atom_site_fract_z
La1 La 0.2484 0.0000 0.0000
Er1 Er 0.0000 0.0000 0.3175
Er2 Er 0.0000 0.5000 0.5000
Er3 Er 0.2500 0.2500 0.1866
Tm1 Tm 0.0000 0.2237 0.5000

=====

# 5
# LaEr4Tm4 (PBE-GGA, optimized geometry)
# Crystal system = triclinic
data_LaEr4Tm4
_chemical_formula_sum 'La2 Er8 Tm8'
_space_group_name_H-M_alt 'P -1'
_space_group_IT_number 2
_cell_length_a 6.6815
_cell_length_b 8.5909
_cell_length_c 10.5968
_cell_angle_alpha 78.12
_cell_angle_beta 74.80
_cell_angle_gamma 76.01
loop_
_space_group_symop_operation_xyz
'x,y,z'
'-x,-y,-z'
loop_
_atom_site_label
_atom_site_type_symbol
_atom_site_fract_x
_atom_site_fract_y
_atom_site_fract_z
La1 La 0.2412 0.4626 0.2171
Er1 Er 0.0770 0.1685 0.7913
Er2 Er 0.0804 0.1628 0.1245
Er3 Er 0.2475 0.4754 0.5475
Er4 Er 0.2484 0.4735 0.8789
Tm1 Tm 0.0841 0.1623 0.4616
Tm2 Tm 0.3796 0.8370 0.6296
Tm3 Tm 0.3869 0.8434 0.9604
Tm4 Tm 0.3922 0.8412 0.2972

=====

# 6
# LaEr3Tm7 (PBE-GGA, optimized geometry)
# Crystal system = trigonal
data_LaEr3Tm7
_chemical_formula_sum 'La1 Er3 Tm7'
_space_group_name_H-M_alt 'P 3 m 1'
_space_group_IT_number 156
_cell_length_a 6.9791
_cell_length_b 6.9791
_cell_length_c 8.5400
_cell_angle_alpha 90.00
_cell_angle_beta 90.00
_cell_angle_gamma 120.00
loop_
_space_group_symop_operation_xyz
'x,y,z'
'-y,x-y,z'
'-x+y,-x,z'
'-y,-x,z'
'-x+y,y,z'
'x,x-y,z'
loop_
_atom_site_label
_atom_site_type_symbol
_atom_site_fract_x
_atom_site_fract_y
_atom_site_fract_z
La1 La 0.0000 0.0000 0.0000
Er1 Er 0.1678 0.3355 0.6615
Tm1 Tm 0.0023 0.5012 0.0004
Tm2 Tm 0.3319 0.1660 0.3311
Tm3 Tm 0.3333 0.6667 0.3305

=====

# 7
# La7ErTm4 (PBE-GGA, optimized geometry)
# Crystal system = triclinic
data_La7ErTm4
_chemical_formula_sum 'La7 Er1 Tm4'
_space_group_name_H-M_alt 'P -1'
_space_group_IT_number 2
_cell_length_a 6.3677
_cell_length_b 7.3134
_cell_length_c 9.0429
_cell_angle_alpha 89.92
_cell_angle_beta 76.35
_cell_angle_gamma 89.95
loop_
_space_group_symop_operation_xyz
'x,y,z'
'-x,-y,-z'
loop_
_atom_site_label
_atom_site_type_symbol
_atom_site_fract_x
_atom_site_fract_y
_atom_site_fract_z
La1 La 0.0000 0.0000 0.0000
La2 La 0.2241 0.9992 0.3341
La3 La 0.2812 0.7478 0.6638
La4 La 0.5000 0.2576 0.9969
Er1 Er 0.0000 0.5000 0.0000
Tm1 Tm 0.2151 0.5006 0.3356
Tm2 Tm 0.2756 0.2596 0.6674

=====

# 8
# La3Er7Tm (PBE-GGA, optimized geometry)
# Crystal system = triclinic
data_La3Er7Tm
_chemical_formula_sum 'La3 Er7 Tm1'
_space_group_name_H-M_alt 'P -1'
_space_group_IT_number 2
_cell_length_a 6.5243
_cell_length_b 6.7067
_cell_length_c 8.5874
_cell_angle_alpha 100.00
_cell_angle_beta 98.16
_cell_angle_gamma 95.21
loop_
_space_group_symop_operation_xyz
'x,y,z'
'-x,-y,-z'
loop_
_atom_site_label
_atom_site_type_symbol
_atom_site_fract_x
_atom_site_fract_y
_atom_site_fract_z
La1 La 0.0000 0.0000 0.0000
La2 La 0.1948 0.5605 0.1670
Er1 Er 0.0112 0.7705 0.5766
Er2 Er 0.2863 0.2752 0.7884
Er3 Er 0.4364 0.7928 0.8516
Er4 Er 0.5000 0.5000 0.5000
Tm1 Tm 0.5000 0.0000 0.5000

=====

# 9
# La4ErTm2 (PBE-GGA, optimized geometry)
# Crystal system = orthorhombic
data_La4ErTm2
_chemical_formula_sum 'La16 Er4 Tm8'
_space_group_name_H-M_alt 'I m m a'
_space_group_IT_number 74
_space_group_name_Hall '-I 2b 2'
_cell_length_a 6.9490
_cell_length_b 11.5520
_cell_length_c 12.0849
_cell_angle_alpha 90.00
_cell_angle_beta 90.00
_cell_angle_gamma 90.00
loop_
_atom_site_label
_atom_site_type_symbol
_atom_site_fract_x
_atom_site_fract_y
_atom_site_fract_z
La1 La 0.0000 0.0015 0.1551
La2 La 0.2178 0.2500 0.9912
Er1 Er 0.2500 0.2500 0.2500
Tm1 Tm 0.0000 0.0000 0.5000
Tm2 Tm 0.0000 0.2500 0.7141

=====

# 10
# La4Er2Tm5 (PBE-GGA, optimized geometry)
# Crystal system = monoclinic
data_La4Er2Tm5
_chemical_formula_sum 'La8 Er4 Tm10'
_space_group_name_H-M_alt 'C 1 2/m 1'
_space_group_IT_number 12
_cell_length_a 24.4705
_cell_length_b 3.5395
_cell_length_c 8.7457
_cell_angle_alpha 90.00
_cell_angle_beta 101.02
_cell_angle_gamma 90.00
loop_
_space_group_symop_operation_xyz
'x,y,z'
'-x,-y,-z'
'-x,y,-z'
'x,-y,z'
'x+1/2,y+1/2,z'
'-x+1/2,-y+1/2,-z'
'-x+1/2,y+1/2,-z'
'x+1/2,-y+1/2,z'
loop_
_atom_site_label
_atom_site_type_symbol
_atom_site_fract_x
_atom_site_fract_y
_atom_site_fract_z
La1 La 0.0290 0.0000 0.1952
La2 La 0.1293 0.5000 0.0327
Er1 Er 0.1034 0.0000 0.6752
Tm1 Tm 0.0000 0.5000 0.5000
Tm2 Tm 0.1890 0.0000 0.4033
Tm3 Tm 0.2311 0.0000 0.8271

=====

# 11
# La5Er4Tm2 (PBE-GGA, optimized geometry)
# Crystal system = orthorhombic
data_La5Er4Tm2
_chemical_formula_sum 'La10 Er8 Tm4'
_space_group_name_H-M_alt 'I m m m'
_space_group_IT_number 71
_space_group_name_Hall '-I 2 2'
_cell_length_a 3.5367
_cell_length_b 9.1983
_cell_length_c 23.7501
_cell_angle_alpha 90.00
_cell_angle_beta 90.00
_cell_angle_gamma 90.00
loop_
_atom_site_label
_atom_site_type_symbol
_atom_site_fract_x
_atom_site_fract_y
_atom_site_fract_z
La1 La 0.0000 0.0000 0.0000
La2 La 0.0000 0.2989 0.3528
Er1 Er 0.0000 0.1827 0.5000
Er2 Er 0.0000 0.5000 0.0963
Tm1 Tm 0.0000 0.5000 0.2299

=====

# 12
# La8Er3Tm2 (PBE-GGA, optimized geometry)
# Crystal system = monoclinic
data_La8Er3Tm2
_chemical_formula_sum 'La16 Er6 Tm4'
_space_group_name_H-M_alt 'C 1 2/m 1'
_space_group_IT_number 12
_cell_length_a 13.6307
_cell_length_b 11.7682
_cell_length_c 6.1268
_cell_angle_alpha 90.00
_cell_angle_beta 112.57
_cell_angle_gamma 90.00
loop_
_space_group_symop_operation_xyz
'x,y,z'
'-x,-y,-z'
'-x,y,-z'
'x,-y,z'
'x+1/2,y+1/2,z'
'-x+1/2,-y+1/2,-z'
'-x+1/2,y+1/2,-z'
'x+1/2,-y+1/2,z'
loop_
_atom_site_label
_atom_site_type_symbol
_atom_site_fract_x
_atom_site_fract_y
_atom_site_fract_z
La1 La 0.0861 0.0000 0.2342
La2 La 0.1390 0.5000 0.6151
La3 La 0.1608 0.2627 0.1477
Er1 Er 0.0000 0.2257 0.5000
Er2 Er 0.0000 0.5000 0.0000
Tm1 Tm 0.1850 0.0000 0.8158

=====

In the order shown, the computed magnetization values come out to 0.0, 0.0, 0.0, 0.4, 0.0, 0.0, 0.0, 0.0, 0.0, 0.0, 0.0, 0.0 Bohr magnetons per cell.
In the order shown, the computed ΔE_f values come out to 0.23, 0.00, 0.02, 0.35, 0.04, 0.21, 0.01, 0.12, 0.23, 0.22, 0.19, 0.14 eV/atom.